(1)
First-principles (meta-GGA SCAN) data for CrHg2Se at its PBEsol-relaxed geometry, as listed in Alexandria.

Cell lengths 5.347, 8.101, 3.839 Å; angles 90.00, 90.00, 90.00 degrees
Space group Cmmm (No. 65)
One atom of each set of equivalent atoms:
Cr  0.000  0.000  0.000
Hg  0.250  0.250  0.500
Se  0.000  0.500  0.000

=====

(2)
First-principles (meta-GGA SCAN) data for CrHg2Se at its PBEsol-relaxed geometry, as listed in Alexandria.

Cell lengths 3.018, 3.018, 8.545 Å; angles 90.00, 90.00, 90.00 degrees
Space group P4mm (No. 99)
One atom of each set of equivalent atoms:
Cr  0.000  0.000  0.000
Hg  0.000  0.000  0.527
Hg  0.500  0.500  0.232
Se  0.500  0.500  0.859

=====

| no. | energy (eV per atom) | density of states at the Fermi level (states/eV per cell) |
| --- | --- | --- |
| 1 | -43.59 | 2.95 |
| 2 | -43.73 | 1.87 |